Density functional theory data (PBE with a Hubbard U) for a relaxed structure of Cs3Nd3CrO8.

```
Cs3Nd3CrO8
1.0
6.1620 -3.5126 0.0000
6.1620 3.5126 0.0000
-4.0567 0.0000 6.9688
Cs Nd Cr O
3 3 1 8
Cartesian
0.0000 0.0000 0.0000 Cs
3.0810 1.7563 0.0000 Cs
3.0810 -1.7563 0.0000 Cs
1.0526 1.7563 3.4844 Nd
1.0526 -1.7563 3.4844 Nd
4.1336 0.0000 3.4844 Nd
-2.0284 0.0000 3.4844 Cr
3.2658 2.0198 4.5393 O
-0.1746 0.0000 4.5804 O
5.0014 2.0198 2.4295 O
2.0939 0.0000 2.3122 O
6.1733 0.0000 4.6566 O
3.2658 -2.0198 4.5393 O
8.4418 0.0000 2.3884 O
5.0014 -2.0198 2.4295 O
```

Values from the calculation:
As for the total energy: -98.09 eV/cell.